Density functional theory data (PBE) for a geometry-optimized Hf4NbIn structure.

SG: No. 123
Distance to the lowest polymorph of the same formula, meV per atom: 286
Formation enthalpy at 0 K, eV per atom: 0.4544

Unit cell a=4.655 b=4.654 c=6.917 alpha=89.99 beta=90.00 gamma=90.00
Atoms (fractional coordinates):
Hf 0.001 0.497 0.727
Hf 0.001 0.497 0.269
In 0.501 0.497 0.998
Nb 0.001 0.997 0.498
Hf 0.501 0.997 0.269
Hf 0.501 0.997 0.727


Density functional theory data (PBE) for a geometry-optimized Sr2FePb structure.

SG: No. 122
Formation enthalpy at 0 K, eV per atom: 0.3298

Unit cell a=10.982 b=10.982 c=8.164 alpha=47.74 beta=47.74 gamma=90.00
Atoms (fractional coordinates):
Sr 0.375 0.546 0.750
Pb 0.000 0.000 0.000
Fe 0.250 0.750 0.500
Sr 0.875 0.704 0.750
Sr 0.296 0.625 0.250
Pb 0.750 0.250 0.500
Sr 0.454 0.125 0.250
Fe 0.500 0.500 0.000


Density functional theory data (PBE) for a geometry-optimized TiBe2Os structure.

SG: No. 225
Formation enthalpy at 0 K, eV per atom: -0.2806

Unit cell a=4.022 b=4.022 c=4.022 alpha=60.00 beta=60.00 gamma=60.00
Atoms (fractional coordinates):
Be 0.750 0.750 0.750
Be 0.250 0.250 0.250
Os 0.500 0.500 0.500
Ti 0.000 0.000 0.000


Density functional theory data (PBE) for a geometry-optimized LiMnFe2 structure.

SG: No. 123
Distance to the lowest polymorph of the same formula, meV per atom: 120
Formation enthalpy at 0 K, eV per atom: 0.3252

Unit cell a=3.815 b=3.453 c=3.453 alpha=90.00 beta=90.00 gamma=90.00
Last column: magnetic moment on the atom in μB.
Atoms (fractional coordinates):
Mn 0.500 0.000 0.500  2.52
Fe 0.000 0.500 0.500  1.83
Li 0.500 0.500 0.000  -0.07
Fe 0.000 0.000 0.000  1.83


Density functional theory data (PBE) for a geometry-optimized SrLiAgPt structure.

SG: No. 216
Distance to the lowest polymorph of the same formula, meV per atom: 139
Formation enthalpy at 0 K, eV per atom: -0.3311

Unit cell a=4.934 b=4.934 c=4.934 alpha=60.00 beta=60.00 gamma=60.00
Atoms (fractional coordinates):
Li 0.250 0.250 0.250
Ag 0.500 0.500 0.500
Sr 0.000 0.000 0.000
Pt 0.750 0.750 0.750


Density functional theory data (PBE) for a geometry-optimized ScPdO3 structure.

SG: No. 221
E_tot, eV/atom: -6.30

Unit cell a=3.906 b=3.906 c=3.906 alpha=90.00 beta=90.00 gamma=90.00
Atoms (fractional coordinates):
O 0.500 0.000 0.000
O 0.000 0.500 0.000
Pd 0.000 0.000 0.000
O 0.000 0.000 0.500
Sc 0.500 0.500 0.500